1.
Density functional theory data (PBE) for a geometry-optimized ScTaSb2 structure.

```
ScTaSb2
1.0
0.000 3.488 3.488
3.488 0.000 3.488
3.488 3.488 0.000
Sb Sc Ta
2 1 1
Cartesian
5.232 5.232 5.232
1.744 1.744 1.744
0.000 0.000 0.000
3.488 3.488 3.488
```

Calculated values
E_form (uncorrected), eV per atom: -0.19
Energy relative to the lowest polymorph listed for this composition, eV/atom: 0.087
Magnetic moment, μB per formula unit: 0.00
Theoretical density, g cm⁻³: 9.18
Uncorrected energy, eV per formula unit: -27.19


2.
Density functional theory data (PBE) for a geometry-optimized ScTaSb2 structure.

```
ScTaSb2
1.0
-1.475 -2.830 1.300
-0.329 -1.288 -3.179
6.540 -3.135 0.593
Sc Ta Sb
1 1 2
Cartesian
0.733 -2.843 -0.791
4.003 -4.411 -0.495
6.402 -3.069 0.580
3.408 -1.634 0.309
```

Calculated values
E_form (uncorrected), eV per atom: -0.22
Energy relative to the lowest polymorph listed for this composition, eV/atom: 0.052
Magnetic moment, μB per formula unit: 0.54
Theoretical density, g cm⁻³: 9.02
Uncorrected energy, eV per formula unit: -27.33


3.
Density functional theory data (PBE) for a geometry-optimized Sc2TaSb2 structure.

```
Sc2TaSb2
1.0
-4.062 6.202 0.418
-2.290 -1.958 6.787
3.082 1.911 1.591
Sb Ta Sc
4 2 4
Cartesian
-2.952 3.716 1.254
-3.400 0.528 5.951
-1.402 0.204 2.470
-4.950 4.040 4.735
0.000 0.000 0.000
-3.176 2.122 3.603
-3.066 3.413 6.765
-0.628 0.661 5.350
-2.642 5.494 3.446
-0.204 2.742 2.031
```

Calculated values
E_form (uncorrected), eV per atom: -0.46
Magnetic moment, μB per formula unit: 0.00
Theoretical density, g cm⁻³: 7.82
Uncorrected energy, eV per formula unit: -35.07


4.
Density functional theory data (PBE) for a geometry-optimized ScTaSb structure.

```
ScTaSb
1.0
-3.549 3.456 5.847
-0.567 -3.191 1.542
10.443 -1.383 0.978
Sc Ta Sb
4 4 4
Cartesian
4.597 0.292 2.296
7.234 -0.506 5.790
2.296 1.781 4.530
-0.908 -0.612 2.577
0.012 1.260 6.789
1.377 -0.091 0.319
5.517 2.164 6.507
6.314 -2.377 1.579
1.948 -0.912 3.005
7.452 -0.008 2.724
-0.559 2.081 4.102
4.379 -0.205 5.362
```

Calculated values
E_form (uncorrected), eV per atom: -0.35
Magnetic moment, μB per formula unit: 0.00
Theoretical density, g cm⁻³: 8.87
Uncorrected energy, eV per formula unit: -23.34


5.
Density functional theory data (PBE) for a geometry-optimized ScTaSb structure.

```
ScTaSb
1.0
-1.045 -6.941 1.651
1.598 -6.071 3.122
-2.269 -0.058 2.179
Sc Sb Ta
1 1 1
Cartesian
-1.339 -4.326 3.034
-2.252 -0.137 2.195
-0.394 -8.664 3.903
```

Calculated values
E_form (uncorrected), eV per atom: -0.05
Magnetic moment, μB per formula unit: 0.00
Theoretical density, g cm⁻³: 9.01
Uncorrected energy, eV per formula unit: -22.45


6.
Density functional theory data (PBE) for a geometry-optimized ScTaSb2 structure.

```
ScTaSb2
1.0
11.072 -0.020 -0.011
10.607 3.173 -0.011
10.607 1.543 2.773
Sb Ta Sc
2 1 1
Cartesian
0.512 0.074 0.044
7.614 1.108 0.649
24.361 3.544 2.075
15.942 2.319 1.358
```

Calculated values
E_form (uncorrected), eV per atom: 0.01
Energy relative to the lowest polymorph listed for this composition, eV/atom: 0.284
Magnetic moment, μB per formula unit: 0.00
Theoretical density, g cm⁻³: 7.92
Uncorrected energy, eV per formula unit: -26.40


7.
Density functional theory data (PBE) for a geometry-optimized ScTaSb2 structure.

```
ScTaSb2
1.0
-2.210 -3.474 -3.279
2.784 -0.212 -1.652
2.960 -4.077 2.324
Ta Sb Sc
1 2 1
Cartesian
3.778 -5.141 -1.325
0.182 -2.858 -1.319
5.152 -4.056 0.824
3.038 -2.140 0.219
```

Calculated values
E_form (uncorrected), eV per atom: -0.12
Energy relative to the lowest polymorph listed for this composition, eV/atom: 0.152
Magnetic moment, μB per formula unit: 0.00
Theoretical density, g cm⁻³: 8.60
Uncorrected energy, eV per formula unit: -26.93


8.
Density functional theory data (PBE) for a geometry-optimized ScTaSb2 structure.

```
ScTaSb2
1.0
4.852 0.000 0.000
0.000 4.932 0.000
0.000 0.000 3.567
Sb Sc Ta
2 1 1
Cartesian
0.000 0.000 0.000
2.426 2.466 0.000
2.426 0.000 1.783
0.000 2.466 1.783
```

Calculated values
E_form (uncorrected), eV per atom: -0.14
Energy relative to the lowest polymorph listed for this composition, eV/atom: 0.131
Magnetic moment, μB per formula unit: 0.00
Theoretical density, g cm⁻³: 9.13
Uncorrected energy, eV per formula unit: -27.01


9.
Density functional theory data (PBE) for a geometry-optimized ScTaSb structure.

```
ScTaSb
1.0
4.933 0.000 0.000
-2.466 4.272 0.000
0.000 0.000 3.025
Sb Sc Ta
1 1 1
Cartesian
0.000 0.000 2.517
0.000 2.848 1.009
2.466 1.424 2.523
```

Calculated values
E_form (uncorrected), eV per atom: 0.03
Magnetic moment, μB per formula unit: 0.00
Theoretical density, g cm⁻³: 9.06
Uncorrected energy, eV per formula unit: -22.23


10.
Density functional theory data (PBE) for a geometry-optimized ScTaSb2 structure.

```
ScTaSb2
1.0
5.466 0.002 -0.012
4.248 3.440 -0.012
0.824 0.292 4.702
Sc Sb Ta
1 2 1
Cartesian
5.370 1.902 1.974
2.660 0.942 1.529
0.823 0.292 4.327
7.777 2.755 3.889
```

Calculated values
E_form (uncorrected), eV per atom: -0.22
Energy relative to the lowest polymorph listed for this composition, eV/atom: 0.059
Magnetic moment, μB per formula unit: 0.00
Theoretical density, g cm⁻³: 8.82
Uncorrected energy, eV per formula unit: -27.30


11.
Density functional theory data (PBE) for a geometry-optimized ScTaSb2 structure.

```
ScTaSb2
1.0
6.466 0.000 0.000
0.000 6.466 0.000
3.233 3.233 6.393
Sc Sb Ta
2 4 2
Cartesian
3.233 3.233 0.000
3.233 6.466 3.197
8.083 8.214 4.795
4.981 1.617 1.598
4.850 4.718 4.795
1.485 4.850 1.598
6.466 3.233 3.197
0.000 0.000 0.000
```

Calculated values
E_form (uncorrected), eV per atom: 0.36
Energy relative to the lowest polymorph listed for this composition, eV/atom: 0.636
Magnetic moment, μB per formula unit: 0.92
Theoretical density, g cm⁻³: 5.83
Uncorrected energy, eV per formula unit: -24.99


12.
Density functional theory data (PBE) for a geometry-optimized ScTaSb structure.

```
ScTaSb
1.0
-0.428 -5.711 -4.052
-0.852 -6.962 0.156
-1.545 6.600 1.807
Sb Sc Ta
1 1 1
Cartesian
-0.009 -0.093 -0.029
-0.417 -4.132 -1.270
-0.853 -8.447 -2.597
```

Calculated values
E_form (uncorrected), eV per atom: 0.04
Magnetic moment, μB per formula unit: 0.00
Theoretical density, g cm⁻³: 8.91
Uncorrected energy, eV per formula unit: -22.19


13.
Density functional theory data (PBE) for a geometry-optimized ScTaSb2 structure.

```
ScTaSb2
1.0
-0.208 -1.203 5.622
2.159 -5.069 1.657
1.389 4.814 -2.828
Sb Ta Sc
2 1 1
Cartesian
0.031 -0.101 0.117
1.062 0.292 3.154
2.246 -1.643 1.174
0.977 -3.142 3.646
```

Calculated values
E_form (uncorrected), eV per atom: -0.11
Energy relative to the lowest polymorph listed for this composition, eV/atom: 0.164
Magnetic moment, μB per formula unit: 0.00
Theoretical density, g cm⁻³: 9.00
Uncorrected energy, eV per formula unit: -26.88


14.
Density functional theory data (PBE) for a geometry-optimized ScTaSb structure.

```
ScTaSb
1.0
-3.730 3.669 -1.220
-2.288 0.363 -4.847
1.173 -3.633 3.780
Sc Sb Ta
1 1 1
Cartesian
-2.006 1.344 -2.022
-0.048 0.032 -0.048
-3.965 2.657 -3.997
```

Calculated values
E_form (uncorrected), eV per atom: -0.24
Magnetic moment, μB per formula unit: 0.23
Theoretical density, g cm⁻³: 9.34
Uncorrected energy, eV per formula unit: -23.01


15.
Density functional theory data (PBE) for a geometry-optimized ScTaSb2 structure.

```
ScTaSb2
1.0
3.072 0.000 0.000
0.000 3.072 0.000
0.000 0.000 10.650
Ta Sc Sb
1 1 2
Cartesian
1.536 1.536 7.800
0.000 0.000 5.581
1.536 1.536 3.249
0.000 0.000 9.995
```

Calculated values
E_form (uncorrected), eV per atom: -0.09
Energy relative to the lowest polymorph listed for this composition, eV/atom: 0.186
Magnetic moment, μB per formula unit: 0.00
Theoretical density, g cm⁻³: 7.75
Uncorrected energy, eV per formula unit: -26.79


16.
Density functional theory data (PBE) for a geometry-optimized Sc3TaSb structure.

```
Sc3TaSb
1.0
-2.841 -2.666 -3.496
3.920 0.348 -3.452
1.991 -4.491 1.807
Sb Ta Sc
1 1 3
Cartesian
0.000 0.000 0.000
1.535 -3.405 -2.570
0.995 -2.246 0.904
-1.421 -1.333 -1.748
1.960 0.174 -1.726
```

Calculated values
E_form (uncorrected), eV per atom: 0.82
Energy relative to the lowest polymorph listed for this composition, eV/atom: 0.301
Magnetic moment, μB per formula unit: 2.69
Theoretical density, g cm⁻³: 5.07
Uncorrected energy, eV per formula unit: -30.89


17.
Density functional theory data (PBE) for a geometry-optimized ScTaSb2 structure.

```
ScTaSb2
1.0
-1.269 2.273 -3.078
-3.869 1.110 -0.227
-0.322 6.692 2.436
Sb Ta Sc
2 1 1
Cartesian
-2.716 5.088 -0.402
-0.335 6.641 2.403
-4.094 7.556 -0.652
-1.365 2.519 -0.217
```

Calculated values
E_form (uncorrected), eV per atom: -0.22
Energy relative to the lowest polymorph listed for this composition, eV/atom: 0.057
Magnetic moment, μB per formula unit: 0.00
Theoretical density, g cm⁻³: 8.22
Uncorrected energy, eV per formula unit: -27.31


18.
Density functional theory data (PBE) for a geometry-optimized ScTa3Sb structure.

```
ScTa3Sb
1.0
4.800 0.000 0.000
0.000 4.800 0.000
0.000 0.000 4.800
Ta Sb Sc
3 1 1
Cartesian
0.000 2.400 0.000
0.000 0.000 2.400
2.400 0.000 0.000
2.400 2.400 2.400
0.000 0.000 0.000
```

Calculated values
E_form (uncorrected), eV per atom: 1.72
Energy relative to the lowest polymorph listed for this composition, eV/atom: 0.270
Magnetic moment, μB per formula unit: 0.00
Theoretical density, g cm⁻³: 10.66
Uncorrected energy, eV per formula unit: -37.40


19.
Density functional theory data (PBE) for a geometry-optimized ScTa3Sb structure.

```
ScTa3Sb
1.0
-1.762 -4.035 -2.426
1.663 -2.956 3.710
-4.405 0.498 2.371
Ta Sc Sb
3 1 1
Cartesian
-2.202 0.249 1.185
0.831 -1.478 1.855
-0.881 -2.018 -1.213
-2.252 -3.247 1.827
0.000 0.000 0.000
```

Calculated values
E_form (uncorrected), eV per atom: 1.45
Energy relative to the lowest polymorph listed for this composition, eV/atom: 0.000
Magnetic moment, μB per formula unit: 0.00
Theoretical density, g cm⁻³: 9.28
Uncorrected energy, eV per formula unit: -38.75


20.
Density functional theory data (PBE) for a geometry-optimized Sc3TaSb structure.

```
Sc3TaSb
1.0
5.103 0.000 0.000
0.000 5.103 0.000
0.000 0.000 5.103
Sc Ta Sb
3 1 1
Cartesian
0.000 2.552 0.000
2.552 0.000 0.000
0.000 0.000 2.552
0.000 0.000 0.000
2.552 2.552 2.552
```

Calculated values
E_form (uncorrected), eV per atom: 0.51
Energy relative to the lowest polymorph listed for this composition, eV/atom: 0.000
Magnetic moment, μB per formula unit: 0.00
Theoretical density, g cm⁻³: 5.47
Uncorrected energy, eV per formula unit: -32.40


21.
Density functional theory data (PBE) for a geometry-optimized ScTaSb structure.

```
ScTaSb
1.0
-5.435 -2.765 -1.120
2.030 -3.633 -0.884
1.137 -1.665 9.454
Sb Ta Sc
4 4 4
Cartesian
-0.476 -2.065 7.394
-0.030 -3.049 2.225
-4.488 -2.489 -0.077
-2.904 -5.138 4.208
-2.456 -2.274 3.705
-0.327 -3.914 5.098
-0.872 -4.923 7.990
-1.910 -1.265 0.812
-2.621 -4.277 1.320
0.173 -0.959 4.341
1.757 -3.608 8.626
-3.067 -3.293 6.489
```

Calculated values
E_form (uncorrected), eV per atom: -0.32
Magnetic moment, μB per formula unit: 0.00
Theoretical density, g cm⁻³: 9.25
Uncorrected energy, eV per formula unit: -23.26


22.
Density functional theory data (PBE) for a geometry-optimized ScTaSb structure.

```
ScTaSb
1.0
-3.829 1.178 1.386
1.102 -4.078 6.512
1.565 3.109 1.682
Sb Sc Ta
2 2 2
Cartesian
-0.283 -0.998 6.550
0.253 -0.936 1.495
-0.967 1.535 2.505
0.937 -3.470 5.541
1.342 -0.516 4.147
-1.372 -1.418 3.898
```

Calculated values
E_form (uncorrected), eV per atom: -0.51
Magnetic moment, μB per formula unit: 0.00
Theoretical density, g cm⁻³: 9.08
Uncorrected energy, eV per formula unit: -23.84


23.
Density functional theory data (PBE) for a geometry-optimized ScTaSb2 structure.

```
ScTaSb2
1.0
4.865 -0.009 -0.012
-0.639 4.823 -0.012
0.010 0.012 3.636
Ta Sb Sc
1 2 1
Cartesian
-0.314 2.417 1.812
0.000 0.000 0.000
2.113 2.407 -0.012
2.438 0.001 1.812
```

Calculated values
E_form (uncorrected), eV per atom: -0.16
Energy relative to the lowest polymorph listed for this composition, eV/atom: 0.118
Magnetic moment, μB per formula unit: 0.00
Theoretical density, g cm⁻³: 9.14
Uncorrected energy, eV per formula unit: -27.06


24.
Density functional theory data (PBE) for a geometry-optimized ScTaSbTe2 structure.

```
ScTaSbTe2
1.0
5.382 0.000 0.000
0.000 5.382 0.000
0.000 0.000 5.410
Te Ta Sb Sc
2 1 1 1
Cartesian
2.691 0.000 0.000
0.000 2.691 0.000
0.000 0.000 0.000
0.000 0.000 2.705
2.691 2.691 2.705
```

Calculated values
E_form (uncorrected), eV per atom: 0.31
Energy relative to the lowest polymorph listed for this composition, eV/atom: 0.000
Magnetic moment, μB per formula unit: 0.74
Theoretical density, g cm⁻³: 6.39
Uncorrected energy, eV per formula unit: -27.02


25.
Density functional theory data (PBE) for a geometry-optimized TbScSb2 structure.

```
TbScSb2
1.0
4.281 0.000 0.000
0.000 6.089 0.000
0.000 0.000 8.556
Sc Sb Tb
2 4 2
Cartesian
0.000 3.045 3.214
2.140 0.000 5.342
2.140 3.045 5.241
0.000 0.000 3.314
0.000 0.000 7.392
2.140 3.045 1.164
2.140 0.000 1.090
0.000 3.045 7.466
```

Calculated values
E_form (uncorrected), eV per atom: -1.03
Energy relative to the lowest polymorph listed for this composition, eV/atom: 0.006
Magnetic moment, μB per formula unit: 0.00
Theoretical density, g cm⁻³: 6.66
Uncorrected energy, eV per formula unit: -23.32


26.
Density functional theory data (PBE) for a geometry-optimized TbSc2Sb2 structure.

```
TbSc2Sb2
1.0
7.509 0.656 0.817
-1.931 7.286 0.817
-2.324 -3.309 4.300
Sb Tb Sc
4 2 4
Cartesian
1.995 0.328 1.484
1.259 4.305 4.451
4.268 4.661 2.301
-1.014 -0.028 3.634
-0.606 2.155 1.484
3.860 2.478 4.451
1.688 5.509 1.039
-1.272 5.118 3.189
4.527 -0.485 2.746
1.566 -0.876 4.896
```

Calculated values
E_form (uncorrected), eV per atom: -0.61
Magnetic moment, μB per formula unit: 0.65
Theoretical density, g cm⁻³: 5.86
Uncorrected energy, eV per formula unit: -28.57


27.
Density functional theory data (PBE) for a geometry-optimized TbScSb structure.

```
TbScSb
1.0
3.916 0.000 0.000
0.000 4.871 0.000
0.000 -2.436 4.219
Sb Tb Sc
1 1 1
Cartesian
0.956 0.000 2.812
2.501 2.436 1.406
0.459 0.000 0.000
```

Calculated values
E_form (uncorrected), eV per atom: -0.48
Magnetic moment, μB per formula unit: 0.00
Theoretical density, g cm⁻³: 6.72
Uncorrected energy, eV per formula unit: -16.53


28.
Density functional theory data (PBE) for a geometry-optimized Tb2ScSb structure.

```
Tb2ScSb
1.0
4.718 0.000 0.000
0.000 4.688 0.000
0.000 0.000 4.688
Sb Sc Tb
1 1 2
Cartesian
2.359 2.344 2.344
2.359 0.000 0.000
0.000 0.000 2.344
0.000 2.344 0.000
```

Calculated values
E_form (uncorrected), eV per atom: -0.48
Energy relative to the lowest polymorph listed for this composition, eV/atom: 0.038
Magnetic moment, μB per formula unit: 0.00
Theoretical density, g cm⁻³: 7.76
Uncorrected energy, eV per formula unit: -21.62